1.
Material: Tm5ScSb6
Method: DFT, GGA-PBE
State: relaxed

electronic total energy = -5.493 eV/atom
DOS at the Fermi energy = 2.13 states/eV/cell
E_form (uncorrected) = -1.041 eV per atom

Geometry as POSCAR:
```
Tm5ScSb6
1.0
3.7338 -6.4667 0.0000
3.7338 6.4667 0.0000
-2.4908 0.0000 7.0389
Tm Sc Sb
5 1 6
Direct
0.0000 0.0000 0.0000
0.1658 0.8342 0.5000
0.3308 0.6692 0.0000
0.6692 0.3308 0.0000
0.8342 0.1658 0.5000
0.5000 0.5000 0.5000
0.0911 0.4185 0.2546
0.2558 0.2558 0.7480
0.4185 0.0911 0.2546
0.5815 0.9089 0.7454
0.7442 0.7442 0.2520
0.9089 0.5815 0.7454
```



2.
Material: Cr2NiN
Method: DFT, GGA-PBE
State: relaxed

electronic total energy = -8.513 eV/atom
DOS at the Fermi energy = 4.91 states/eV/cell
E_form (uncorrected) = -0.174 eV per atom

Geometry as POSCAR:
```
Cr2NiN
1.0
1.3297 0.7677 6.4819
-1.3297 0.7677 6.4819
0.0000 -1.5355 6.4819
Cr Ni N
2 1 1
Direct
0.0000 0.0000 0.0000
0.2078 0.2078 0.2078
0.4399 0.4399 0.4399
0.6036 0.6036 0.6036
```



3.
Material: Mg3VH
Method: DFT, GGA-PBE
State: relaxed

electronic total energy = -3.167 eV/atom
DOS at the Fermi energy = 3.31 states/eV/cell

Geometry as POSCAR:
```
Mg3VH
1.0
4.3280 0.0000 0.0000
0.0000 4.3280 0.0000
0.0000 0.0000 4.3280
Mg V H
3 1 1
Direct
0.0000 0.0000 0.5000
0.0000 0.5000 0.0000
0.5000 0.0000 0.0000
0.5000 0.5000 0.5000
0.0000 0.0000 0.0000
```